{
  "formula": "LiNpCrO6",
  "functional": "PBE+U",
  "state": "optimized geometry",
  "lattice_angstrom": [[4.847, 0.000, 0.000], [0.000, 4.847, 0.000], [0.000, 0.000, 9.056]],
  "species": ["Li", "Li", "Np", "Np", "Cr", "Cr", "O", "O", "O", "O", "O", "O", "O", "O", "O", "O", "O", "O"],
  "fractional_positions": [[0.000, 0.000, 0.000], [0.500, 0.500, 0.500], [0.000, 0.000, 0.336], [0.500, 0.500, 0.836], [0.000, 0.000, 0.681], [0.500, 0.500, 0.181], [0.180, 0.180, 0.508], [0.193, 0.193, 0.821], [0.201, 0.201, 0.179], [0.299, 0.701, 0.679], [0.307, 0.693, 0.321], [0.320, 0.680, 0.008], [0.680, 0.320, 0.008], [0.693, 0.307, 0.321], [0.701, 0.299, 0.679], [0.799, 0.799, 0.179], [0.807, 0.807, 0.821], [0.820, 0.820, 0.508]],
  "total_magnetization_mub_per_atom": 0.222,
  "crystal_system": "tetragonal",
  "rho_g_cm3": 6.12,
  "energy_ev_per_atom": -7.8750
}